(1)
Material: TlZnP2O
Method: DFT, PBE
State: relaxed

Summary:
Energy relative to the elements, uncorrected (eV per atom): 0.4482
Symmetry: P4/mmm
Polymorph energy (0 for the lowest one) (meV per atom): 0

abc: 5.0201 5.0201 3.6783
angles: 90.00 90.00 90.00
With the nearest neighbours (Å) after each atom.
Sites, in units of the cell vectors:
P 0.5000 0.0000 0.0000  2 Zn 2.51
P 0.0000 0.5000 0.0000  2 Zn 2.51
Tl 0.5000 0.5000 0.5000  8 P 3.11
Zn 0.0000 0.0000 0.0000  2 O 1.84
O 0.0000 0.0000 0.5000  2 Zn 1.84

=====

(2)
Material: Tl2FeBi
Method: DFT, PBE
State: relaxed

Summary:
Symmetry: Fm-3m
Polymorph energy (0 for the lowest one) (meV per atom): 314
Energy relative to the elements (meV per atom): 902

abc: 5.1707 5.1707 5.1707
angles: 60.00 60.00 60.00
With the nearest neighbours (Å) after each atom.
Sites, in units of the cell vectors:
Tl 0.7500 0.7500 0.7500  4 Bi 3.17, 4 Fe 3.17
Tl 0.2500 0.2500 0.2500  4 Bi 3.17, 4 Fe 3.17
Bi 0.5000 0.5000 0.5000  8 Tl 3.17
Fe 0.0000 0.0000 0.0000  8 Tl 3.17

=====

(3)
Material: CaNpPd6
Method: DFT, PBE
State: relaxed

Summary:
Symmetry: P4/mmm
Energy relative to the elements (meV per atom): -513

abc: 4.1325 4.1325 8.2538
angles: 90.00 90.00 90.00
With the nearest neighbours (Å) after each atom.
Sites, in units of the cell vectors:
Pd 0.0000 0.5000 0.2593  2 Np 2.87, 8 Pd 2.87-2.97, 2 Ca 2.97
Pd 0.5000 0.0000 0.2593  8 Pd 2.87-2.97, 2 Np 2.87, 2 Ca 2.97
Pd 0.0000 0.5000 0.7407  2 Np 2.87, 8 Pd 2.87-2.97, 2 Ca 2.97
Pd 0.5000 0.0000 0.7407  2 Np 2.87, 8 Pd 2.87-2.97, 2 Ca 2.97
Pd 0.5000 0.5000 0.0000  4 Ca 2.92, 8 Pd 2.97
Pd 0.5000 0.5000 0.5000  8 Pd 2.87, 4 Np 2.92
Ca 0.0000 0.0000 0.0000  12 Pd 2.92-2.97
Np 0.0000 0.0000 0.5000  12 Pd 2.87-2.92

=====

(4)
Material: TiIn
Method: DFT, PBE
State: relaxed

Summary:
Symmetry: P4_2/mnm
Energy relative to the elements (meV per atom): 341

abc: 5.6018 5.6018 5.6018
angles: 90.00 90.00 90.00
With the nearest neighbours (Å) after each atom.
Sites, in units of the cell vectors:
Ti 0.2525 0.7475 0.0000  6 In 2.80
Ti 0.2475 0.2475 0.5000  6 In 2.80
Ti 0.7475 0.2525 0.0000  6 In 2.80
Ti 0.7525 0.7525 0.5000  6 In 2.80
In 0.7525 0.7525 0.0000  6 Ti 2.80
In 0.2525 0.7475 0.5000  6 Ti 2.80
In 0.2475 0.2475 0.0000  6 Ti 2.80
In 0.7475 0.2525 0.5000  6 Ti 2.80

=====

(5)
Material: TeMoOs2
Method: DFT, PBE
State: relaxed

Summary:
Energy relative to the elements, uncorrected (eV per atom): 0.6097
Symmetry: R-3m

abc: 9.0267 9.0267 9.0267
angles: 18.80 18.80 18.80
With the nearest neighbours (Å) after each atom.
Sites, in units of the cell vectors:
Os 0.4965 0.4965 0.4965  3 Mo 2.72, 3 Te 2.87, 6 Os 2.95
Os 0.0035 0.0035 0.0035  3 Mo 2.72, 3 Te 2.87, 6 Os 2.95
Mo 0.7500 0.7500 0.7500  6 Os 2.72, 6 Mo 2.95
Te 0.2500 0.2500 0.2500  6 Os 2.87, 6 Te 2.95

=====

(6)
Material: Ca2Zn
Method: DFT, PBE
State: relaxed

Summary:
Symmetry: P-3m1
Energy relative to the elements (meV per atom): -48

abc: 3.9446 3.9446 7.4853
angles: 90.00 90.00 120.00
With the nearest neighbours (Å) after each atom.
Sites, in units of the cell vectors:
Ca 0.6667 0.3333 0.7224  3 Zn 3.08
Ca 0.3333 0.6667 0.2776  3 Zn 3.08
Zn 0.0000 0.0000 0.0000  6 Ca 3.08

=====

Let's list energy in order: -3.4354, -3.3675, -6.2751, -4.9757, -8.4984, -1.8070 eV/atom.